# La2CoBr (PBEsol, optimized geometry)
# Uncorrected energy: -22.24 eV per formula unit
# Formation energy without anion corrections: -0.484 eV per atom
data_La2CoBr
_chemical_formula_sum 'La4 Co2 Br2'
_cell_length_a 4.212
_cell_length_b 6.002
_cell_length_c 7.643
_cell_angle_alpha 90.00
_cell_angle_beta 90.00
_cell_angle_gamma 90.00
_symmetry_space_group_name_H-M 'I m m m'
_symmetry_Int_Tables_number 71
_symmetry_space_group_name_Hall '-I 2 2'
loop_
_atom_site_label
_atom_site_fract_x
_atom_site_fract_y
_atom_site_fract_z
_atom_site_occupancy
La1 0.000 0.000 0.221 1
Co1 0.000 0.500 0.500 1
Br1 0.000 0.500 0.000 1